[1]
Material: YScAlNi
Method: DFT, PBE
State: optimized geometry

## Properties
Calculated density: 4.7 g cm⁻³
Calculated total energy: -5.673 eV per atom
Spin magnetization: 0.9 μB per formula unit

abc: 6.753 6.753 6.753
angles: 90.00 90.00 90.00
Space group F-43m (No. 216)
Asymmetric unit:
Y: 0.000 0.000 0.000
Sc: 0.250 0.250 0.250
Al: 0.000 0.000 0.500
Ni: 0.250 0.250 0.750



[2]
Material: ZrScAlNi
Method: DFT, PBE
State: optimized geometry

## Properties
Calculated density: 5.3 g cm⁻³
Calculated total energy: -6.146 eV per atom
Spin magnetization: 2.0 μB per formula unit

abc: 6.527 6.527 6.527
angles: 90.00 90.00 90.00
Space group F-43m (No. 216)
Asymmetric unit:
Zr: 0.000 0.000 0.000
Sc: 0.250 0.250 0.250
Al: 0.000 0.000 0.500
Ni: 0.250 0.250 0.750



[3]
Material: ZrScAl2Ni4
Method: DFT, PBE
State: optimized geometry

## Properties
Calculated density: 6.0 g cm⁻³
Calculated total energy: -6.195 eV per atom
Spin magnetization: 0.0 μB per formula unit

abc: 4.0953 4.0953 8.0914
angles: 90.00 90.00 120.00
Space group P-6m2 (No. 187)
Asymmetric unit:
Zr: 0.0000 0.0000 0.0000
Sc: 0.6667 0.3333 0.5000
Al: 0.3333 0.6667 0.2527
Ni: 0.0000 0.0000 0.3326
Ni: 0.6667 0.3333 0.1642



[4]
Material: Zr2ScAl3Ni3
Method: DFT, PBE
State: optimized geometry

## Properties
Calculated density: 5.6 g cm⁻³
Calculated total energy: -6.359 eV per atom
Spin magnetization: 0.0 μB per formula unit

abc: 3.562 11.839 6.857
angles: 90.00 90.00 90.00
Space group Amm2 (No. 38)
Asymmetric unit:
Zr: 0.000 0.207 0.000
Sc: 0.000 0.000 0.618
Al: 0.500 0.000 0.957
Al: 0.500 0.123 0.331
Ni: 0.000 0.000 0.205
Ni: 0.500 0.168 0.708



[5]
Material: ZrSc2Al3Ni3
Method: DFT, PBE
State: optimized geometry

## Properties
Calculated density: 5.1 g cm⁻³
Calculated total energy: -6.109 eV per atom
Spin magnetization: 0.0 μB per formula unit

abc: 3.576 11.825 6.813
angles: 90.00 90.00 90.00
Space group Amm2 (No. 38)
Asymmetric unit:
Zr: 0.000 0.000 0.000
Sc: 0.000 0.206 0.620
Al: 0.500 0.000 0.661
Al: 0.500 0.124 0.291
Ni: 0.000 0.000 0.413
Ni: 0.500 0.166 0.916



[6]
Material: Al2Ni3Se2
Method: DFT, PBE
State: optimized geometry

## Properties
Calculated density: 6.2 g cm⁻³
Calculated total energy: -4.805 eV per atom
Spin magnetization: 0.0 μB per formula unit

abc: 5.1626 5.1626 13.6090
angles: 90.00 90.00 120.00
Space group R-3m (No. 166, hexagonal axes)
Asymmetric unit:
Al: 0.0000 0.0000 0.0000
Al: 0.0000 0.0000 0.5000
Ni: 0.0000 0.5000 0.0000
Se: 0.0000 0.0000 0.2061



[7]
Material: Al2NiSe4
Method: DFT, PBE
State: optimized geometry

## Properties
Calculated density: 4.9 g cm⁻³
Calculated total energy: -4.451 eV per atom
Spin magnetization: 1.9 μB per formula unit

abc: 7.434 7.434 10.582
angles: 90.00 90.00 90.00
Space group P4_122 (No. 91)
Asymmetric unit:
Al: 0.000 0.258 0.000
Al: 0.250 0.250 0.375
Ni: 0.254 0.500 0.750
Se: 0.021 0.253 0.758
Se: 0.254 0.485 0.989



[8]
Material: Al6SiNi2
Method: DFT, PBE
State: optimized geometry

## Properties
Calculated density: 3.9 g cm⁻³
Calculated total energy: -4.537 eV per atom
Spin magnetization: 0.0 μB per formula unit

abc: 6.7027 6.7027 3.3615
angles: 90.00 90.00 120.00
Space group P-62m (No. 189)
Asymmetric unit:
Al: 0.0000 0.2832 0.0000
Al: 0.0000 0.6085 0.5000
Si: 0.0000 0.0000 0.5000
Ni: 0.3333 0.6667 0.0000



[9]
Material: AlSi6Ni
Method: DFT, PBE
State: optimized geometry

## Properties
Calculated density: 3.1 g cm⁻³
Calculated total energy: -4.928 eV per atom
Spin magnetization: 0.0 μB per formula unit

abc: 8.126 8.126 8.126
angles: 90.00 90.00 90.00
Space group F-43m (No. 216)
Asymmetric unit:
Al: 0.000 0.000 0.000
Si: 0.030 0.250 0.750
Ni: 0.250 0.250 0.250



[10]
Material: AlSiNi6
Method: DFT, PBE
State: optimized geometry

## Properties
Calculated density: 7.7 g cm⁻³
Calculated total energy: -5.719 eV per atom
Spin magnetization: 0.0 μB per formula unit

abc: 3.967 3.967 5.613
angles: 90.00 90.00 90.00
Space group P4/mmm (No. 123)
Asymmetric unit:
Al: 0.000 0.000 0.000
Si: 0.500 0.500 0.500
Ni: 0.000 0.000 0.500
Ni: 0.000 0.500 0.259
Ni: 0.500 0.500 0.000



[11]
Material: AlSiNi
Method: DFT, PBE
State: optimized geometry

## Properties
Calculated density: 4.5 g cm⁻³
Calculated total energy: -5.421 eV per atom
Spin magnetization: 0.0 μB per formula unit

abc: 5.517 5.517 5.517
angles: 90.00 90.00 90.00
Space group F-43m (No. 216)
Asymmetric unit:
Al: 0.000 0.000 0.000
Si: 0.000 0.000 0.500
Ni: 0.250 0.250 0.250



[12]
Material: Tb3Al3SiNi2
Method: DFT, PBE
State: optimized geometry

## Properties
Calculated density: 6.8 g cm⁻³
Calculated total energy: -4.800 eV per atom
Spin magnetization: 0.0 μB per formula unit

abc: 7.9547 7.9547 3.1412
angles: 90.00 90.00 120.00
Space group P-62m (No. 189)
Asymmetric unit:
Tb: 0.0000 0.3032 0.0000
Al: 0.0000 0.6310 0.5000
Si: 0.0000 0.0000 0.5000
Ni: 0.3333 0.6667 0.0000



> Which of these has the highest calculated density?

AlSiNi6



> spin magnetization of number 8 (Al6SiNi2)?

0.0 μB per formula unit



> Which formula does entry 6 have?

Al2Ni3Se2



> The highest spin magnetization belongs to which entry?

ZrScAlNi